Here is a relaxed structure of ReMoAs2 from Alexandria via LeMat-Bulk. Energies are from PBE.

The structure in POSCAR format:
```
ReMoAs2
1.0
-1.400 2.344 -7.631
1.476 1.456 -7.835
-0.747 -0.572 -8.050
Re Mo As
1 1 2
direct
0.750 0.750 0.750
0.250 0.250 0.250
0.002 0.002 0.002
0.498 0.498 0.498
```

Space group: R-3m
E_form (eV/atom): 0.282
Total energy (eV/atom): -7.863
Energy relative to the lowest polymorph listed for this composition (eV per atom): 0.2378

=====

Here is a relaxed structure of AcGeRh3Pb from Alexandria via LeMat-Bulk. Energies are from PBE.

The structure in POSCAR format:
```
AcGeRh3Pb
1.0
5.907 0.000 0.000
0.000 5.974 0.000
0.000 -2.987 7.993
Ac Ge Rh Pb
2 2 6 2
direct
0.750 0.240 0.480
0.250 0.760 0.520
0.250 0.082 0.164
0.750 0.918 0.836
0.250 0.233 0.467
0.000 0.239 0.000
0.500 0.761 0.000
0.500 0.239 0.000
0.000 0.761 0.000
0.750 0.767 0.533
0.250 0.400 0.801
0.750 0.600 0.199
```

Space group: Cmcm
E_form (eV/atom): -0.436
Total energy (eV/atom): -6.184

=====

Here is a relaxed structure of DyV2Fe10 from Alexandria via LeMat-Bulk. Energies are from PBE.

The structure in POSCAR format:
```
DyV2Fe10
1.0
2.217 -4.485 -4.022
5.193 0.350 3.756
-6.035 -2.131 0.488
Dy V Fe
1 2 10
direct
0.000 0.000 0.000
0.359 0.359 0.000
0.641 0.641 0.000
0.000 0.500 0.000
0.000 0.000 0.500
0.500 0.000 0.000
0.500 0.500 0.500
0.775 0.500 0.275
0.225 0.500 0.725
0.772 0.272 0.500
0.228 0.728 0.500
0.359 0.000 0.359
0.641 0.000 0.641
```

Space group: Immm
E_form (eV/atom): -0.072
Total energy (eV/atom): -8.338

=====

Here is a relaxed structure of Nd2Hf2O7 from Alexandria via LeMat-Bulk. Energies are from PBE.

The structure in POSCAR format:
```
Nd2Hf2O7
1.0
7.575 0.000 0.000
3.788 6.560 0.000
3.788 2.187 6.185
Nd Hf O
4 4 14
direct
0.625 0.125 0.125
0.125 0.625 0.125
0.125 0.125 0.625
0.125 0.125 0.125
0.125 0.625 0.625
0.625 0.125 0.625
0.625 0.625 0.125
0.625 0.625 0.625
0.707 0.707 0.293
0.293 0.293 0.707
0.707 0.293 0.707
0.293 0.707 0.293
0.293 0.707 0.707
0.707 0.293 0.293
0.543 0.543 0.957
0.957 0.957 0.543
0.543 0.957 0.543
0.957 0.543 0.957
0.957 0.543 0.543
0.543 0.957 0.957
0.250 0.250 0.250
0.000 0.000 0.000
```

Raw formation energy (eV/atom): -3.54
Space group: Fd-3m
Total energy (eV/atom): -9.369